# Co2AuSe (PBE, optimized geometry)
# * raw total energy: -4.901 eV per atom
# * energy relative to the elements, uncorrected: 0.3428 eV/atom
data_Co2AuSe
_cell_length_a 6.114
_cell_length_b 6.127
_cell_length_c 3.097
_cell_angle_alpha 90.00
_cell_angle_beta 90.00
_cell_angle_gamma 90.00
_symmetry_space_group_name_H-M 'C m m m'
_symmetry_Int_Tables_number 65
_symmetry_space_group_name_Hall '-C 2 2'
loop_
_atom_site_label
_atom_site_fract_x
_atom_site_fract_y
_atom_site_fract_z
Co1 0.250 0.250 0.000
Au1 0.000 0.000 0.500
Se1 0.000 0.500 0.500